1.
Compound: NaCe2Ho3Se6
Source: Alexandria
Functional: GGA-PBE
Structure: relaxed

The space group is C2/m (No. 12) and the conventional cell measures 18.092, 4.090 and 8.347 Å, with angles of 90.00, 104.09 and 90.00 degrees. Symmetry generates all atoms from Na at (0.000, 0.000, 0.000), Ce at (0.169, 0.500, 0.339), Ho at (0.000, 0.000, 0.500), Ho at (0.166, 0.500, 0.828), Se at (0.002, 0.500, 0.745), Se at (0.162, 0.000, 0.590) and Se at (0.168, 0.000, 0.074).

The value obtained for the magnetic moment is 2.22 μB/f.u. The density of states at the Fermi level comes out at 1.197 states/eV per atom. The formation energy without anion corrections comes out at -1.75 eV/atom.

***

2.
Compound: Ho12AlNi5
Source: Alexandria
Functional: GGA-PBE
Structure: relaxed

The space group is Immm (No. 71) and the conventional cell measures 9.270, 9.451 and 9.821 Å, with angles of 90.00, 90.00 and 90.00 degrees. Symmetry generates all atoms from Ho at (0.000, 0.190, 0.217), Ho at (0.197, 0.500, 0.176), Ho at (0.207, 0.317, 0.500), Al at (0.000, 0.000, 0.500), Ni at (0.000, 0.000, 0.000), Ni at (0.000, 0.362, 0.000) and Ni at (0.000, 0.500, 0.376).

The value obtained for the magnetic moment is 0.00 μB/f.u. The density of states at the Fermi level comes out at 0.912 states/eV per atom. As for the formation enthalpy at 0 K: -332 meV/atom.

***

3.
Compound: ZrTiZnGa
Source: Alexandria
Functional: GGA-PBE
Structure: relaxed

The space group is I-4m2 (No. 119) and the conventional cell measures 4.205, 4.205 and 7.788 Å, with angles of 90.00, 90.00 and 90.00 degrees. Symmetry generates all atoms from Zr at (0.000, 0.000, 0.000), Ti at (0.000, 0.000, 0.500), Zn at (0.000, 0.500, 0.750) and Ga at (0.000, 0.500, 0.250).

The value obtained for the magnetic moment is 0.00 μB/f.u. The density of states at the Fermi level comes out at 1.075 states/eV per atom. As for the formation enthalpy at 0 K: -358 meV/atom. The energy relative to the lowest polymorph listed for this composition is 0 meV per atom.

***

4.
Compound: SiNi2Hg
Source: Alexandria
Functional: GGA-PBE
Structure: relaxed

The space group is I-4m2 (No. 119) and the conventional cell measures 3.660, 3.660 and 8.243 Å, with angles of 90.00, 90.00 and 90.00 degrees. Symmetry generates all atoms from Si at (0.000, 0.000, 0.000), Ni at (0.000, 0.000, 0.500), Ni at (0.000, 0.500, 0.250) and Hg at (0.000, 0.500, 0.750).

The value obtained for the magnetic moment is 0.00 μB/f.u. The density of states at the Fermi level comes out at 0.373 states/eV per atom. The energy relative to the lowest polymorph listed for this composition is 339 meV per atom. The formation energy without anion corrections comes out at 0.15 eV/atom.

***

5.
Compound: AlTlGeF6
Source: Alexandria
Functional: GGA-PBE
Structure: relaxed

The space group is P1 (No. 1) and the conventional cell measures 5.518, 5.554 and 5.828 Å, with angles of 90.02, 90.14 and 119.78 degrees. Symmetry generates all atoms from Al at (0.000, 0.000, 0.000), Tl at (0.333, 0.666, 0.511), Ge at (0.665, 0.333, 0.024), F at (0.072, 0.302, 0.166), F at (0.238, 0.935, 0.165), F at (0.314, 0.212, 0.810), F at (0.704, 0.773, 0.172), F at (0.783, 0.101, 0.814) and F at (0.896, 0.686, 0.813).

The value obtained for the magnetic moment is 0.00 μB/f.u. The density of states at the Fermi level comes out at 0.000 states/eV per atom. The formation energy without anion corrections comes out at -2.67 eV/atom.

***

6.
Compound: In2HgSb
Source: Alexandria
Functional: GGA-PBE
Structure: relaxed

The space group is Pmmm (No. 47) and the conventional cell measures 3.405, 5.282 and 6.294 Å, with angles of 90.00, 90.00 and 90.00 degrees. Symmetry generates all atoms from In at (0.000, 0.000, 0.000), In at (0.500, 0.500, 0.500), Hg at (0.000, 0.000, 0.500) and Sb at (0.500, 0.500, 0.000).

The value obtained for the magnetic moment is 0.00 μB/f.u. The density of states at the Fermi level comes out at 0.683 states/eV per atom. The energy relative to the lowest polymorph listed for this composition is 39 meV per atom. The formation energy without anion corrections comes out at 0.04 eV/atom.

***

7.
Compound: MnPd7Pt4
Source: Alexandria
Functional: GGA-PBE
Structure: relaxed

The space group is C2/m (No. 12) and the conventional cell measures 9.822, 4.719 and 8.865 Å, with angles of 90.00, 105.76 and 90.00 degrees. Symmetry generates all atoms from Mn at (0.000, 0.000, 0.000), Pd at (0.000, 0.500, 0.000), Pd at (0.118, 0.000, 0.287), Pd at (0.127, 0.500, 0.454), Pd at (0.222, 0.000, 0.917), Pt at (0.121, 0.000, 0.612) and Pt at (0.126, 0.500, 0.769).

The value obtained for the magnetic moment is 3.64 μB/f.u. The density of states at the Fermi level comes out at 1.086 states/eV per atom. As for the formation enthalpy at 0 K: 164 meV/atom.

***

8.
Compound: AgRuSN2
Source: Alexandria
Functional: GGA-PBE
Structure: relaxed

The space group is P4/mmm (No. 123) and the conventional cell measures 3.887, 3.887 and 6.061 Å, with angles of 90.00, 90.00 and 90.00 degrees. Symmetry generates all atoms from Ag at (0.000, 0.000, 0.000), Ru at (0.500, 0.500, 0.500), S at (0.000, 0.000, 0.500) and N at (0.000, 0.500, 0.000).

The value obtained for the magnetic moment is 6.52 μB/f.u. The density of states at the Fermi level comes out at 0.906 states/eV per atom. The energy relative to the lowest polymorph listed for this composition is 1528 meV per atom. The formation energy without anion corrections comes out at 2.29 eV/atom.

***

What did the third record say?
Compound: ZrTiZnGa
Source: Alexandria
Functional: GGA-PBE
Structure: relaxed

The space group is I-4m2 (No. 119) and the conventional cell measures 4.205, 4.205 and 7.788 Å, with angles of 90.00, 90.00 and 90.00 degrees. Symmetry generates all atoms from Zr at (0.000, 0.000, 0.000), Ti at (0.000, 0.000, 0.500), Zn at (0.000, 0.500, 0.750) and Ga at (0.000, 0.500, 0.250).

The value obtained for the magnetic moment is 0.00 μB/f.u. The density of states at the Fermi level comes out at 1.075 states/eV per atom. As for the formation enthalpy at 0 K: -358 meV/atom. The energy relative to the lowest polymorph listed for this composition is 0 meV per atom.